1.
! ZnCl2 | OQMD | PBE-GGA | relaxed; values from VASP
! * SG: Fd-3m
&SYSTEM
  ibrav = 0, nat = 6, ntyp = 2
/
ATOMIC_SPECIES
Zn 65.41 Zn.upf
Cl 35.45 Cl.upf
CELL_PARAMETERS angstrom
0.000 4.121 4.121
4.121 0.000 4.121
4.121 4.121 0.000
ATOMIC_POSITIONS angstrom
Zn 1.030 1.030 1.030
Zn 7.211 7.211 7.211
Cl 4.121 2.060 2.060
Cl 2.060 4.121 2.060
Cl 2.060 2.060 4.121
Cl 4.121 4.121 4.121

=====

2.
! LaHgAsO | OQMD | PBE-GGA | relaxed; values from VASP
! * SG: Pmc2_1
&SYSTEM
  ibrav = 0, nat = 8, ntyp = 4
/
ATOMIC_SPECIES
La 138.91 La.upf
Hg 200.59 Hg.upf
As 74.92 As.upf
O 16.00 O.upf
CELL_PARAMETERS angstrom
4.538 0.000 0.000
0.000 6.846 0.000
0.000 0.000 6.449
ATOMIC_POSITIONS angstrom
La 0.000 1.684 0.000
La 0.000 5.162 3.225
Hg 2.269 2.394 3.698
Hg 2.269 4.452 0.474
As 0.000 1.413 3.167
As 0.000 5.434 6.392
O 2.269 2.055 6.435
O 2.269 4.792 3.210

=====

3.
! NaZrCuS3 | OQMD | PBE-GGA | relaxed; values from VASP
! * SG: P2_1/m
&SYSTEM
  ibrav = 0, nat = 12, ntyp = 4
/
ATOMIC_SPECIES
Na 22.99 Na.upf
Zr 91.22 Zr.upf
Cu 63.55 Cu.upf
S 32.06 S.upf
CELL_PARAMETERS angstrom
7.447 0.000 0.000
0.000 3.719 0.000
-2.737 0.000 8.740
ATOMIC_POSITIONS angstrom
Na 1.288 0.930 1.835
Na 3.423 2.789 6.905
Zr -0.406 2.789 5.835
Zr 5.116 0.930 2.905
Cu 0.613 0.930 7.897
Cu 4.098 2.789 0.843
S -0.494 2.789 3.163
S -0.763 2.789 8.348
S 1.352 0.930 5.726
S 3.358 2.789 3.014
S 5.473 0.930 0.392
S 5.205 0.930 5.577

=====

4.
! ScCdCoSn | OQMD | PBE-GGA | relaxed; values from VASP
! * SG: F-43m
! * relative energy among the computed polymorphs: 0 meV per atom
&SYSTEM
  ibrav = 0, nat = 4, ntyp = 4
/
ATOMIC_SPECIES
Sc 44.96 Sc.upf
Cd 112.41 Cd.upf
Co 58.93 Co.upf
Sn 118.71 Sn.upf
CELL_PARAMETERS angstrom
0.000 3.303 3.303
3.303 0.000 3.303
3.303 3.303 0.000
ATOMIC_POSITIONS angstrom
Sc 0.000 0.000 0.000
Cd 4.955 4.955 4.955
Co 3.303 3.303 3.303
Sn 1.652 1.652 1.652

=====

Number 1: DFT total energy -6.27 eV per cell. Number 2: DFT total energy -40.70 eV per cell. Number 3: DFT total energy -66.23 eV per cell. Number 4: DFT total energy -18.78 eV per cell.